This record from Alexandria describes a geometry-optimized Ca2CoN2 structure. The functional is PBE.

Output
The value obtained for the volume is 15.31 A^3/atom. Its size of the total moment is 2.038 Bohr magnetons per cell. The calculation puts the total energy at -6.20 eV per atom. The raw formation energy is -647 meV/atom.

a = 5.9417 Å, b = 5.9417 Å, c = 6.8358 Å
α = 60.37°, β = 60.37°, γ = 49.10°
Closest atoms and distances in Å follow each position.
Atoms (fractional coordinates):
Ca  0.3173  0.3173  0.5940  4 N 2.43-2.47
Ca  0.6827  0.6827  0.4060  4 N 2.43-2.47
Ca  0.9524  0.9524  0.7752  4 N 2.33-2.51
Ca  0.0476  0.0476  0.2248  4 N 2.33-2.51
Co  0.6242  0.6242  0.8745  3 N 1.82-1.88
Co  0.3758  0.3758  0.1255  3 N 1.82-1.88
N  0.8135  0.8135  0.6078  1 Co 1.86
N  0.1865  0.1865  0.3922  1 Co 1.86
N  0.5236  0.5236  0.1908  2 Co 1.82-1.88
N  0.4764  0.4764  0.8092  2 Co 1.82-1.88